Here is a geometry-optimized NaPd structure from the Open Quantum Materials Database. Energies are from GGA-PBE.

a = 4.2901 Å, b = 4.2901 Å, c = 4.2901 Å
α = 60.00°, β = 60.00°, γ = 60.00°
Last column: nearest neighbours and their distance in Å.
Positions (direct):
Na 0.0000 0.0000 0.0000  4 Pd 2.63
Pd 0.7500 0.7500 0.7500  4 Na 2.63

Output
E_tot (eV per atom): -2.44
SG: No. 216

***

Here is a geometry-optimized NaPd structure from the Open Quantum Materials Database. Energies are from GGA-PBE.

a = 3.9109 Å, b = 3.9109 Å, c = 3.9109 Å
α = 60.00°, β = 60.00°, γ = 60.00°
Last column: nearest neighbours and their distance in Å.
Positions (direct):
Na 0.0000 0.0000 0.0000  6 Pd 2.77
Pd 0.5000 0.5000 0.5000  6 Na 2.77

Output
E_tot (eV per atom): -2.87
SG: No. 225

***

Here is a geometry-optimized Na15Pd structure from the Open Quantum Materials Database. Energies are from GGA-PBE.

a = 7.5906 Å, b = 7.5906 Å, c = 7.5906 Å
α = 90.00°, β = 90.00°, γ = 90.00°
Last column: nearest neighbours and their distance in Å.
Positions (direct):
Na 0.0000 0.0000 0.0000  14 Na 3.53-3.80
Na 0.0000 0.0000 0.5000  8 Na 3.38
Na 0.0000 0.5000 0.0000  8 Na 3.38
Na 0.0000 0.5000 0.5000  8 Na 3.21
Na 0.2686 0.2686 0.2686  1 Pd 3.04, 6 Na 3.21-3.38
Na 0.2686 0.2686 0.7314  1 Pd 3.04, 6 Na 3.21-3.38
Na 0.2686 0.7314 0.2686  1 Pd 3.04, 6 Na 3.21-3.38
Na 0.2686 0.7314 0.7314  1 Pd 3.04, 6 Na 3.21-3.38
Na 0.5000 0.0000 0.0000  8 Na 3.38
Na 0.5000 0.0000 0.5000  8 Na 3.21
Na 0.5000 0.5000 0.0000  8 Na 3.21
Na 0.7314 0.2686 0.2686  1 Pd 3.04, 6 Na 3.21-3.38
Na 0.7314 0.2686 0.7314  1 Pd 3.04, 6 Na 3.21-3.38
Na 0.7314 0.7314 0.2686  1 Pd 3.04, 6 Na 3.21-3.38
Na 0.7314 0.7314 0.7314  1 Pd 3.04, 6 Na 3.21-3.38
Pd 0.5000 0.5000 0.5000  8 Na 3.04

Output
E_tot (eV per atom): -1.50
SG: No. 221

***

Here is a geometry-optimized NaPmPd structure from the Open Quantum Materials Database. Energies are from GGA-PBE.

a = 4.8626 Å, b = 4.8626 Å, c = 4.8626 Å
α = 60.00°, β = 60.00°, γ = 60.00°
Last column: nearest neighbours and their distance in Å.
Positions (direct):
Na 0.0000 0.0000 0.0000  4 Pd 2.98
Pm 0.5000 0.5000 0.5000  4 Pd 2.98
Pd 0.2500 0.2500 0.2500  4 Na 2.98, 4 Pm 2.98

Output
E_tot (eV per atom): -4.00
SG: No. 216

***

Here is a geometry-optimized NaPrPd4 structure from the Open Quantum Materials Database. Energies are from GGA-PBE.

a = 5.4500 Å, b = 5.4500 Å, c = 5.4500 Å
α = 60.00°, β = 60.00°, γ = 60.00°
Last column: nearest neighbours and their distance in Å.
Positions (direct):
Na 0.0000 0.0000 0.0000  12 Pd 3.20, 4 Pr 3.34
Pr 0.7500 0.7500 0.7500  12 Pd 3.20, 4 Na 3.34
Pd 0.3749 0.3749 0.3749  6 Pd 2.72-2.73
Pd 0.3749 0.3749 0.8754  6 Pd 2.72-2.73
Pd 0.3749 0.8754 0.3749  6 Pd 2.72-2.73
Pd 0.8754 0.3749 0.3749  6 Pd 2.72-2.73

Output
E_tot (eV per atom): -5.04
SG: No. 216

***

Here is a geometry-optimized Na3Pd2Pt structure from the Open Quantum Materials Database. Energies are from GGA-PBE.

a = 2.8693 Å, b = 2.8693 Å, c = 14.3756 Å
α = 90.00°, β = 90.00°, γ = 120.00°
Last column: nearest neighbours and their distance in Å.
Positions (direct):
Na 0.0000 0.0000 0.0000  6 Na 2.87, 6 Pd 2.91
Na 0.3333 0.6667 0.6682  6 Na 2.87, 3 Pd 2.90, 3 Pt 2.93
Na 0.6667 0.3333 0.3318  6 Na 2.87, 3 Pd 2.90, 3 Pt 2.93
Pd 0.3333 0.6667 0.1660  6 Pd 2.87, 6 Na 2.90-2.91
Pd 0.6667 0.3333 0.8340  6 Pd 2.87, 6 Na 2.90-2.91
Pt 0.0000 0.0000 0.5000  6 Pt 2.87, 6 Na 2.93

Output
E_tot (eV per atom): -3.50
SG: No. 164

***

Here is a geometry-optimized NaPdPt structure from the Open Quantum Materials Database. Energies are from GGA-PBE.

a = 4.4024 Å, b = 4.4024 Å, c = 4.4024 Å
α = 60.00°, β = 60.00°, γ = 60.00°
Last column: nearest neighbours and their distance in Å.
Positions (direct):
Na 0.0000 0.0000 0.0000  4 Pd 2.70
Pd 0.2500 0.2500 0.2500  4 Na 2.70, 4 Pt 2.70
Pt 0.5000 0.5000 0.5000  4 Pd 2.70

Output
E_tot (eV per atom): -3.86
SG: No. 216

***

Here is a geometry-optimized NaPdPt structure from the Open Quantum Materials Database. Energies are from GGA-PBE.

a = 4.3127 Å, b = 4.3127 Å, c = 4.3127 Å
α = 60.00°, β = 60.00°, γ = 60.00°
Last column: nearest neighbours and their distance in Å.
Positions (direct):
Na 0.0000 0.0000 0.0000  4 Pd 2.64, 4 Pt 2.64
Pd 0.7500 0.7500 0.7500  4 Na 2.64
Pt 0.2500 0.2500 0.2500  4 Na 2.64

Output
E_tot (eV per atom): -3.55
SG: No. 216